(1)
A plane-wave DFT calculation with PBE+U was carried out for an optimized crystal structure of Li4Cr3Ni3Te2O16.

The structure in POSCAR format:
```
Li4Cr3Ni3Te2O16
1.0
5.137 -2.981 0.000
5.137 2.981 0.000
-0.128 0.000 9.643
Li Cr Ni Te O
4 3 3 2 16
Direct
0.000 0.000 0.000 Li
0.003 0.003 0.503 Li
0.332 0.332 0.422 Li
0.664 0.664 0.924 Li
0.176 0.176 0.731 Cr
0.345 0.833 0.228 Cr
0.833 0.345 0.228 Cr
0.174 0.661 0.726 Ni
0.661 0.174 0.726 Ni
0.832 0.832 0.227 Ni
0.339 0.339 0.999 Te
0.673 0.673 0.500 Te
0.006 0.006 0.316 O
0.016 0.016 0.811 O
0.038 0.470 0.863 O
0.174 0.174 0.109 O
0.174 0.664 0.103 O
0.319 0.319 0.624 O
0.347 0.833 0.606 O
0.470 0.038 0.863 O
0.481 0.481 0.865 O
0.514 0.964 0.365 O
0.521 0.521 0.360 O
0.664 0.174 0.103 O
0.665 0.665 0.122 O
0.833 0.347 0.606 O
0.835 0.835 0.603 O
0.964 0.514 0.365 O
```

Properties
theoretical density: 4.90 g cm⁻³
volume: 295.3 Å³/cell
total DFT energy (no corrections): -5.932 eV/atom
crystal system: monoclinic

***

(2)
A plane-wave DFT calculation with PBE+U was carried out for an optimized crystal structure of Li4V2Cr3Ni3O16.

The structure in POSCAR format:
```
Li4V2Cr3Ni3O16
1.0
5.101 -2.931 0.000
5.101 2.931 0.000
-0.085 0.000 9.463
Li V Cr Ni O
4 2 3 3 16
Direct
0.000 0.000 0.000 Li
0.008 0.008 0.491 Li
0.343 0.343 0.088 Li
0.670 0.670 0.587 Li
0.344 0.344 0.484 V
0.656 0.656 0.996 V
0.164 0.657 0.767 Cr
0.657 0.164 0.767 Cr
0.830 0.830 0.257 Cr
0.176 0.176 0.780 Ni
0.353 0.842 0.277 Ni
0.842 0.353 0.277 Ni
0.000 0.000 0.686 O
0.001 0.001 0.193 O
0.047 0.496 0.646 O
0.180 0.656 0.398 O
0.184 0.184 0.408 O
0.348 0.831 0.896 O
0.356 0.356 0.882 O
0.483 0.483 0.645 O
0.496 0.047 0.646 O
0.532 0.532 0.131 O
0.541 0.968 0.134 O
0.656 0.180 0.398 O
0.691 0.691 0.382 O
0.831 0.348 0.896 O
0.834 0.834 0.886 O
0.968 0.541 0.134 O
```

Properties
theoretical density: 4.21 g cm⁻³
volume: 283.0 Å³/cell
total DFT energy (no corrections): -6.379 eV/atom
crystal system: monoclinic

***

(3)
A plane-wave DFT calculation with PBE+U was carried out for an optimized crystal structure of Li4Cr3Ni3W2O16.

The structure in POSCAR format:
```
Li4Cr3Ni3W2O16
1.0
5.127 -2.981 0.000
5.127 2.981 0.000
-0.084 0.000 9.642
Li Cr Ni W O
4 3 3 2 16
Direct
0.000 0.000 0.000 Li
0.002 0.002 0.502 Li
0.330 0.330 0.416 Li
0.662 0.662 0.919 Li
0.172 0.172 0.729 Cr
0.340 0.832 0.226 Cr
0.832 0.340 0.226 Cr
0.170 0.660 0.723 Ni
0.660 0.170 0.723 Ni
0.830 0.830 0.225 Ni
0.337 0.337 0.998 W
0.669 0.669 0.498 W
0.002 0.002 0.316 O
0.011 0.011 0.812 O
0.036 0.465 0.859 O
0.172 0.172 0.105 O
0.176 0.657 0.097 O
0.318 0.318 0.621 O
0.347 0.832 0.602 O
0.465 0.036 0.859 O
0.477 0.477 0.863 O
0.511 0.959 0.361 O
0.519 0.519 0.355 O
0.657 0.176 0.097 O
0.664 0.664 0.120 O
0.830 0.830 0.596 O
0.832 0.347 0.602 O
0.959 0.511 0.361 O
```

Properties
theoretical density: 5.54 g cm⁻³
volume: 294.8 Å³/cell
total DFT energy (no corrections): -6.457 eV/atom
crystal system: monoclinic

***

Q: Number 1 is which compound?
A: Li4Cr3Ni3Te2O16

***

Q: What is the formula in the first record?
A: Li4Cr3Ni3Te2O16

***

Q: What is the formula in the first record?
A: Li4Cr3Ni3Te2O16